[1]
An optimized crystal structure of LaMo2As. Source: Alexandria via LeMat-Bulk, functional GGA-PBE.

Results
Symmetry: Cmm2, No. 35
Spin magnetization, μB/f.u.: 0.00
Energy relative to the elements, meV/atom: 208

Unit cell a=3.053 b=3.053 c=9.141 alpha=90.00 beta=90.00 gamma=111.79
Positions (direct):
Mo1 0.000 0.000 0.037
Mo2 0.500 0.500 0.246
As1 0.000 0.000 0.465
La1 0.500 0.500 0.752


[2]
An optimized crystal structure of LaMo2As. Source: Alexandria via LeMat-Bulk, functional GGA-PBE.

Results
Symmetry: R-3m, No. 166
Spin magnetization, μB/f.u.: 0.00
Energy relative to the elements, meV/atom: 486

Unit cell a=9.349 b=9.349 c=9.349 alpha=19.37 beta=19.37 gamma=19.37
Positions (direct):
Mo1 0.983 0.983 0.983
Mo2 0.517 0.517 0.517
As1 0.250 0.250 0.250
La1 0.750 0.750 0.750


[3]
An optimized crystal structure of LaMo2As. Source: Alexandria via LeMat-Bulk, functional GGA-PBE.

Results
Symmetry: C2/m, No. 12
Spin magnetization, μB/f.u.: 0.00
Energy relative to the elements, meV/atom: 363

Unit cell a=5.561 b=5.561 c=3.140 alpha=72.52 beta=72.52 gamma=111.36
Positions (direct):
Mo1 0.000 0.000 0.000
Mo2 0.500 0.500 0.000
As1 0.500 0.000 0.500
La1 0.000 0.500 0.500


[4]
An optimized crystal structure of La2MoAs2. Source: Alexandria via LeMat-Bulk, functional GGA-PBE.

Results
Symmetry: P4/mbm, No. 127
Spin magnetization, μB/f.u.: 0.00
Energy relative to the elements, meV/atom: -719

Unit cell a=7.111 b=7.111 c=4.564 alpha=90.00 beta=90.00 gamma=90.00
Positions (direct):
Mo1 0.000 0.000 0.000
Mo2 0.500 0.500 0.000
As1 0.360 0.860 0.000
As2 0.860 0.640 0.000
As3 0.640 0.140 0.000
As4 0.140 0.360 0.000
La1 0.174 0.674 0.500
La2 0.674 0.826 0.500
La3 0.826 0.326 0.500
La4 0.326 0.174 0.500


[5]
An optimized crystal structure of LaMoAs. Source: Alexandria via LeMat-Bulk, functional GGA-PBE.

Results
Symmetry: P-6m2, No. 187
Spin magnetization, μB/f.u.: 0.00
Energy relative to the elements, meV/atom: -316

Unit cell a=4.363 b=4.363 c=4.234 alpha=90.00 beta=90.00 gamma=120.00
Positions (direct):
Mo1 0.667 0.333 0.833
As1 0.000 0.000 0.833
La1 0.333 0.667 0.333


[6]
An optimized crystal structure of LaMo2As. Source: Alexandria via LeMat-Bulk, functional GGA-PBE.

Results
Symmetry: Imm2, No. 44
Spin magnetization, μB/f.u.: 0.00
Energy relative to the elements, meV/atom: 285

Unit cell a=5.812 b=5.812 c=5.812 alpha=146.87 beta=134.97 gamma=57.03
Positions (direct):
Mo1 0.984 0.984 0.000
Mo2 0.736 0.236 0.500
As1 0.527 0.527 0.000
La1 0.253 0.753 0.500


[7]
An optimized crystal structure of La2MoAs. Source: Alexandria via LeMat-Bulk, functional GGA-PBE.

Results
Symmetry: R3m, No. 160
Spin magnetization, μB/f.u.: 0.00
Energy relative to the elements, meV/atom: -96

Unit cell a=8.985 b=8.985 c=8.985 alpha=24.60 beta=24.60 gamma=24.60
Positions (direct):
Mo1 0.478 0.478 0.478
As1 0.767 0.767 0.767
La1 0.024 0.024 0.024
La2 0.231 0.231 0.231


[8]
An optimized crystal structure of LaMo2As. Source: Alexandria via LeMat-Bulk, functional GGA-PBE.

Results
Symmetry: R3m, No. 160
Spin magnetization, μB/f.u.: 0.00
Energy relative to the elements, meV/atom: -193

Unit cell a=4.359 b=4.359 c=5.903 alpha=68.33 beta=68.33 gamma=60.00
Positions (direct):
Mo1 0.043 0.043 0.872
Mo2 0.750 0.750 0.750
As1 0.456 0.456 0.631
La1 0.251 0.251 0.247


[9]
An optimized crystal structure of LaMo2As. Source: Alexandria via LeMat-Bulk, functional GGA-PBE.

Results
Symmetry: I4/mmm, No. 139
Spin magnetization, μB/f.u.: 0.00
Energy relative to the elements, meV/atom: 453

Unit cell a=5.755 b=5.755 c=5.755 alpha=138.73 beta=138.73 gamma=59.78
Positions (direct):
Mo1 0.000 0.000 0.000
Mo2 0.500 0.500 0.000
As1 0.250 0.750 0.500
La1 0.750 0.250 0.500


[10]
An optimized crystal structure of LaMo2As. Source: Alexandria via LeMat-Bulk, functional GGA-PBE.

Results
Symmetry: P4mm, No. 99
Spin magnetization, μB/f.u.: 0.00
Energy relative to the elements, meV/atom: -116

Unit cell a=3.275 b=3.275 c=7.398 alpha=90.00 beta=90.00 gamma=90.00
Positions (direct):
Mo1 0.000 0.000 0.058
Mo2 0.500 0.500 0.248
As1 0.000 0.000 0.439
La1 0.500 0.500 0.754


[11]
An optimized crystal structure of LaMo2As. Source: Alexandria via LeMat-Bulk, functional GGA-PBE.

Results
Symmetry: C2/m, No. 12
Spin magnetization, μB/f.u.: 0.00
Energy relative to the elements, meV/atom: 50

Unit cell a=4.931 b=4.931 c=5.324 alpha=78.65 beta=78.65 gamma=41.30
Positions (direct):
Mo1 0.020 0.020 0.908
Mo2 0.480 0.480 0.592
As1 0.750 0.750 0.750
La1 0.250 0.250 0.250


[12]
An optimized crystal structure of La2MoAs. Source: Alexandria via LeMat-Bulk, functional GGA-PBE.

Results
Symmetry: P4/mmm, No. 123
Spin magnetization, μB/f.u.: 0.77
Energy relative to the elements, meV/atom: -178

Unit cell a=3.977 b=4.955 c=4.955 alpha=90.00 beta=90.00 gamma=90.00
Each line ends with the local moment (μB).
Positions (direct):
Mo1 0.500 0.500 0.000  0.63
As1 0.500 0.000 0.500  0.00
La1 0.000 0.000 0.000  0.01
La2 0.000 0.500 0.500  0.01


[13]
An optimized crystal structure of LaMo2As. Source: Alexandria via LeMat-Bulk, functional GGA-PBE.

Results
Symmetry: F-43m, No. 216
Spin magnetization, μB/f.u.: 0.00
Energy relative to the elements, meV/atom: 299

Unit cell a=4.791 b=4.791 c=4.791 alpha=60.00 beta=60.00 gamma=60.00
Positions (direct):
Mo1 0.000 0.000 0.000
Mo2 0.250 0.250 0.250
As1 0.500 0.500 0.500
La1 0.750 0.750 0.750


[14]
An optimized crystal structure of LaMo2As. Source: Alexandria via LeMat-Bulk, functional GGA-PBE.

Results
Symmetry: Cmmm, No. 65
Spin magnetization, μB/f.u.: 0.00
Energy relative to the elements, meV/atom: 416

Unit cell a=3.114 b=3.114 c=8.658 alpha=90.00 beta=90.00 gamma=113.52
Positions (direct):
Mo1 0.000 0.000 0.040
Mo2 0.000 0.000 0.460
As1 0.500 0.500 0.250
La1 0.500 0.500 0.750


[15]
An optimized crystal structure of La2MoAs. Source: Alexandria via LeMat-Bulk, functional GGA-PBE.

Results
Symmetry: Pm, No. 6
Spin magnetization, μB/f.u.: 0.00
Energy relative to the elements, meV/atom: -392

Unit cell a=4.269 b=4.356 c=6.007 alpha=68.81 beta=90.00 gamma=90.00
Positions (direct):
Mo1 0.000 0.694 0.486
As1 0.500 0.559 0.758
La1 0.000 0.986 0.905
La2 0.500 0.262 0.351


[16]
An optimized crystal structure of LaMo2As. Source: Alexandria via LeMat-Bulk, functional GGA-PBE.

Results
Symmetry: P4/mmm, No. 123
Spin magnetization, μB/f.u.: 0.00
Energy relative to the elements, meV/atom: 247

Unit cell a=3.493 b=3.493 c=6.666 alpha=90.00 beta=90.00 gamma=90.00
Positions (direct):
Mo1 0.000 0.000 0.071
Mo2 0.000 0.000 0.429
As1 0.500 0.500 0.250
La1 0.500 0.500 0.750


[17]
An optimized crystal structure of LaMo2As. Source: Alexandria via LeMat-Bulk, functional GGA-PBE.

Results
Symmetry: Pm, No. 6
Spin magnetization, μB/f.u.: 0.00
Energy relative to the elements, meV/atom: -82

Unit cell a=4.155 b=3.408 c=6.094 alpha=81.94 beta=90.00 gamma=90.00
Positions (direct):
Mo1 0.000 0.930 0.147
Mo2 0.500 0.415 0.187
As1 0.000 0.354 0.466
La1 0.500 0.801 0.700


[18]
An optimized crystal structure of La2MoAs. Source: Alexandria via LeMat-Bulk, functional GGA-PBE.

Results
Symmetry: Cmmm, No. 65
Spin magnetization, μB/f.u.: 0.96
Energy relative to the elements, meV/atom: -176

Unit cell a=5.190 b=5.190 c=3.692 alpha=90.00 beta=90.00 gamma=104.21
Each line ends with the local moment (μB).
Positions (direct):
Mo1 0.500 0.000 0.500  0.87
As1 0.000 0.500 0.500  0.00
La1 0.000 0.000 0.000  -0.01
La2 0.500 0.500 0.000  -0.01


[19]
An optimized crystal structure of La2MoAs. Source: Alexandria via LeMat-Bulk, functional GGA-PBE.

Results
Symmetry: Cm, No. 8
Spin magnetization, μB/f.u.: 0.00
Energy relative to the elements, meV/atom: -285

Unit cell a=6.226 b=6.226 c=4.813 alpha=73.89 beta=73.89 gamma=34.14
Positions (direct):
Mo1 0.451 0.451 0.516
As1 0.796 0.796 0.748
La1 0.016 0.016 0.953
La2 0.237 0.237 0.283


| no. | E_tot (eV per atom) |
| --- | --- |
| 1 | -7.60 |
| 2 | -7.32 |
| 3 | -7.45 |
| 4 | -6.72 |
| 5 | -7.12 |
| 6 | -7.53 |
| 7 | -6.43 |
| 8 | -8.00 |
| 9 | -7.36 |
| 10 | -7.93 |
| 11 | -7.76 |
| 12 | -6.51 |
| 13 | -7.51 |
| 14 | -7.39 |
| 15 | -6.73 |
| 16 | -7.56 |
| 17 | -7.89 |
| 18 | -6.51 |
| 19 | -6.62 |